# 1
LaHgNF2 | GGA-PBE | relaxed

Geometry as POSCAR:
```
LaHgNF2
1.0
4.6925 0.0000 0.0000
0.0000 4.6925 0.0000
0.0000 0.0000 5.1698
La Hg N F
1 1 1 2
direct
0.0000 0.0000 0.0000
0.5000 0.5000 0.5000
0.0000 0.0000 0.5000
0.0000 0.5000 0.0000
0.5000 0.0000 0.0000
```

## Properties
Offset from the most stable computed form ... 0.0000 eV per atom
V ... 22.8 A^3/atom

***

# 2
Cs2GaBCl6 | GGA-PBE | relaxed

Geometry as POSCAR:
```
Cs2GaBCl6
1.0
-0.7034 -6.6522 2.6833
6.0980 -1.9742 -3.2959
5.4101 -2.9136 3.8745
Cl Ga B Cs
6 1 1 2
direct
0.2402 0.7598 0.0000
0.7598 0.7598 0.0000
0.7664 0.7664 0.4672
0.2402 0.2402 0.0000
0.2336 0.2336 0.5328
0.7598 0.2402 0.0000
0.0000 0.0000 0.0000
0.5000 0.5000 0.0000
0.2500 0.7500 0.5000
0.7500 0.2500 0.5000
```

## Properties
Calculated total energy ... -0.117 hartree per atom
V ... 26.9 A^3/atom

***

# 3
Bi5S5O2 | GGA-PBE | relaxed

Geometry as POSCAR:
```
Bi5S5O2
1.0
3.9245 0.0000 0.7509
1.6418 6.2414 2.0501
-0.1274 -0.0635 11.2961
Bi O S
5 2 5
direct
0.8873 0.8202 0.4051
0.0000 0.0000 0.0000
0.6460 0.5189 0.1891
0.1127 0.1798 0.5949
0.3540 0.4811 0.8109
0.0437 0.7140 0.1986
0.9563 0.2860 0.8014
0.7423 0.8708 0.6445
0.6622 0.7286 0.9470
0.3378 0.2714 0.0530
0.2577 0.1292 0.3555
0.5000 0.5000 0.5000
```

## Properties
Calculated total energy ... -0.172 hartree per atom
V ... 23.1 A^3/atom